Entry 1:
Compound: KZn2POs
Source: the Alexandria database
Functional: PBE-GGA
Structure: optimized geometry

The space group is P4/mmm (No. 123) and the conventional cell measures 5.002, 5.002 and 4.454 Å, with angles of 90.00, 90.00 and 90.00 degrees. Symmetry generates all atoms from K at (0.000, 0.000, 0.000), Zn at (0.000, 0.500, 0.500), P at (0.500, 0.500, 0.000) and Os at (0.500, 0.500, 0.500).

As for the crystal system: tetragonal. For the formation energy, the calculation gives -93 meV per atom.

Entry 2:
Compound: Ce3Pr2HoBi6
Source: the Alexandria database
Functional: PBE-GGA
Structure: optimized geometry

The space group is C2/m (No. 12) and the conventional cell measures 7.956, 13.783 and 7.955 Å, with angles of 90.00, 109.51 and 90.00 degrees. Symmetry generates all atoms from Ce at (0.000, 0.000, 0.000), Ce at (0.000, 0.330, 0.000), Pr at (0.000, 0.166, 0.500), Ho at (0.000, 0.500, 0.500), Bi at (0.242, 0.500, 0.247) and Bi at (0.246, 0.336, 0.749).

As for the crystal system: monoclinic. For the formation energy, the calculation gives -854 meV per atom.

Entry 3:
Compound: Ce2Dy3YSe6
Source: the Alexandria database
Functional: PBE-GGA
Structure: optimized geometry

The space group is C2/m (No. 12) and the conventional cell measures 7.104, 12.329 and 7.177 Å, with angles of 90.00, 109.35 and 90.00 degrees. Symmetry generates all atoms from Ce at (0.000, 0.166, 0.000), Dy at (0.000, 0.000, 0.500), Dy at (0.000, 0.333, 0.500), Y at (0.000, 0.500, 0.000), Se at (0.242, 0.500, 0.742) and Se at (0.250, 0.164, 0.742).

The energy relative to the elements, uncorrected is -172.12 kJ per mole of atoms. As for the crystal system: monoclinic.

Entry 4:
Compound: Hf2PaCo2
Source: the Alexandria database
Functional: PBE-GGA
Structure: optimized geometry

The space group is C2/m (No. 12) and the conventional cell measures 12.210, 3.440 and 10.449 Å, with angles of 90.00, 124.13 and 90.00 degrees. Symmetry generates all atoms from Hf at (0.118, 0.000, 0.432), Hf at (0.163, 0.500, 0.197), Pa at (0.139, 0.500, 0.855), Co at (0.036, 0.000, 0.916) and Co at (0.117, 0.500, 0.623).

Its energy above the most stable polymorph in this dataset is 0 meV/atom. As for the crystal system: monoclinic. For the formation energy, the calculation gives -319 meV per atom.

Entry 5:
Compound: Zn2GaC
Source: the Alexandria database
Functional: PBE-GGA
Structure: optimized geometry

The space group is Fm-3m (No. 225) and the conventional cell measures 6.090, 6.090 and 6.090 Å, with angles of 90.00, 90.00 and 90.00 degrees. Symmetry generates all atoms from Zn at (0.250, 0.250, 0.250), Ga at (0.000, 0.000, 0.000) and C at (0.000, 0.000, 0.500).

As for the crystal system: cubic. For the formation energy, the calculation gives 1169 meV per atom.

Entry 6:
Compound: V3SbS6
Source: the Alexandria database
Functional: PBE-GGA
Structure: optimized geometry

The space group is P2_1/m (No. 11) and the conventional cell measures 10.208, 3.299 and 11.852 Å, with angles of 90.00, 113.34 and 90.00 degrees. Symmetry generates all atoms from V at (0.014, 0.250, 0.152), V at (0.377, 0.250, 0.973), V at (0.430, 0.750, 0.383), Sb at (0.123, 0.250, 0.598), S at (0.059, 0.750, 0.311), S at (0.125, 0.250, 0.997), S at (0.226, 0.750, 0.833), S at (0.279, 0.250, 0.266), S at (0.388, 0.750, 0.559) and S at (0.466, 0.750, 0.124).

The energy relative to the elements, uncorrected is -62.52 kJ per mole of atoms. As for the crystal system: monoclinic.

Entry 7:
Compound: LuB2Ir
Source: the Alexandria database
Functional: PBE-GGA
Structure: optimized geometry

The space group is R-3m (No. 166, hexagonal axes) and the conventional cell measures 3.6640, 3.6640 and 13.4492 Å, with angles of 90.00, 90.00 and 120.00 degrees. Symmetry generates all atoms from Lu at (0.0000, 0.0000, 0.0000), B at (0.0000, 0.0000, 0.2073) and Ir at (0.0000, 0.0000, 0.5000).

As for the crystal system: trigonal. For the formation energy, the calculation gives -465 meV per atom.

Entry 8:
Compound: Ca2ZrMn
Source: the Alexandria database
Functional: PBE-GGA
Structure: optimized geometry

The space group is P4/mmm (No. 123) and the conventional cell measures 4.523, 4.523 and 5.125 Å, with angles of 90.00, 90.00 and 90.00 degrees. Symmetry generates all atoms from Ca at (0.000, 0.500, 0.000), Zr at (0.000, 0.000, 0.500) and Mn at (0.500, 0.500, 0.500).

Its energy above the most stable polymorph in this dataset is 325 meV/atom. As for the crystal system: tetragonal. For the formation energy, the calculation gives 525 meV per atom.

Entry 9:
Compound: La5Y2Er3
Source: the Alexandria database
Functional: PBE-GGA
Structure: optimized geometry

The space group is C2/c (No. 15) and the conventional cell measures 10.862, 14.780 and 10.249 Å, with angles of 90.00, 121.96 and 90.00 degrees. Symmetry generates all atoms from La at (0.000, 0.018, 0.250), La at (0.000, 0.229, 0.250), La at (0.000, 0.477, 0.750), La at (0.249, 0.370, 0.247), Y at (0.157, 0.130, 0.062), Er at (0.000, 0.269, 0.750) and Er at (0.153, 0.374, 0.560).

As for the crystal system: monoclinic. For the formation energy, the calculation gives 160 meV per atom.

Entry 10:
Compound: MnBePb2Br
Source: the Alexandria database
Functional: PBE-GGA
Structure: optimized geometry

The space group is P4/mmm (No. 123) and the conventional cell measures 5.838, 5.838 and 4.637 Å, with angles of 90.00, 90.00 and 90.00 degrees. Symmetry generates all atoms from Mn at (0.000, 0.000, 0.000), Be at (0.500, 0.500, 0.000), Pb at (0.000, 0.500, 0.500) and Br at (0.000, 0.000, 0.500).

The energy relative to the elements, uncorrected is 109.85 kJ per mole of atoms. As for the crystal system: tetragonal.

Entry 11:
Compound: Rb4La3PaSe8
Source: the Alexandria database
Functional: PBE-GGA
Structure: optimized geometry

The space group is R-3m (No. 166, hexagonal axes) and the conventional cell measures 8.8439, 8.8439 and 24.0439 Å, with angles of 90.00, 90.00 and 120.00 degrees. Symmetry generates all atoms from Rb at (0.0000, 0.0000, 0.0000), Rb at (0.0000, 0.5000, 0.0000), La at (0.0000, 0.5000, 0.5000), Pa at (0.0000, 0.0000, 0.5000), Se at (0.0000, 0.0000, 0.2348) and Se at (0.0115, 0.5057, 0.2335).

The energy relative to the elements, uncorrected is -160.85 kJ per mole of atoms. As for the crystal system: trigonal.

Entry 12:
Compound: Li2SnAsPb
Source: the Alexandria database
Functional: PBE-GGA
Structure: optimized geometry

The space group is P4/mmm (No. 123) and the conventional cell measures 5.012, 5.012 and 5.611 Å, with angles of 90.00, 90.00 and 90.00 degrees. Symmetry generates all atoms from Li at (0.000, 0.500, 0.000), Sn at (0.000, 0.000, 0.500), As at (0.500, 0.500, 0.500) and Pb at (0.500, 0.500, 0.000).

As for the crystal system: tetragonal. For the formation energy, the calculation gives 370 meV per atom.